Material: HoP4Pd12
Method: DFT, PBE
State: optimized geometry

Summary:
Its formation energy is -0.459 eV per atom. The total energy is -96.34 eV/f.u.

Lattice parameters (Å, degrees): 7.217 7.217 7.217 109.47 109.47 109.47
Sites, in units of the cell vectors:
Ho: 0.000 0.000 0.000
P: 0.000 0.000 0.500
P: 0.000 0.500 0.000
P: 0.500 0.000 0.000
P: 0.500 0.500 0.500
Pd: 0.164 0.830 0.333
Pd: 0.170 0.333 0.503
Pd: 0.170 0.667 0.836
Pd: 0.333 0.164 0.830
Pd: 0.333 0.503 0.170
Pd: 0.497 0.830 0.667
Pd: 0.503 0.170 0.333
Pd: 0.667 0.497 0.830
Pd: 0.667 0.836 0.170
Pd: 0.830 0.333 0.164
Pd: 0.830 0.667 0.497
Pd: 0.836 0.170 0.667

Material: Ho3P4Pd7
Method: DFT, PBE
State: optimized geometry

Summary:
Its formation energy is -0.993 eV per atom. The total energy is -85.63 eV/f.u.

Lattice parameters (Å, degrees): 7.932 7.932 9.385 124.18 124.18 29.15
Sites, in units of the cell vectors:
Ho: 0.000 0.000 0.000
Ho: 0.320 0.320 0.323
Ho: 0.680 0.680 0.677
P: 0.106 0.106 0.820
P: 0.341 0.341 0.747
P: 0.659 0.659 0.253
P: 0.894 0.894 0.180
Pd: 0.000 0.000 0.500
Pd: 0.168 0.168 0.421
Pd: 0.305 0.305 0.970
Pd: 0.490 0.490 0.716
Pd: 0.510 0.510 0.284
Pd: 0.695 0.695 0.030
Pd: 0.832 0.832 0.579

Material: HoP2Pd4
Method: DFT, PBE
State: optimized geometry

Summary:
Its formation energy is -0.810 eV per atom. The calculation puts the energy above the lowest structure with this stoichiometry at 0 meV per atom. The total energy is -41.84 eV/f.u.

Lattice parameters (Å, degrees): 6.881 6.881 4.176 90.00 90.00 144.97
Sites, in units of the cell vectors:
Ho: 0.000 0.000 0.000
P: 0.416 0.584 0.500
P: 0.584 0.416 0.500
Pd: 0.173 0.827 0.500
Pd: 0.330 0.670 0.000
Pd: 0.670 0.330 0.000
Pd: 0.827 0.173 0.500

Material: Ho2PPd2Pt4
Method: DFT, PBE
State: optimized geometry

Summary:
Its formation energy is -0.946 eV per atom. The total energy is -57.63 eV/f.u.

Lattice parameters (Å, degrees): 6.089 6.089 6.089 119.57 119.57 90.75
Sites, in units of the cell vectors:
Ho: 0.250 0.750 0.500
Ho: 0.750 0.250 0.500
P: 0.000 0.000 0.000
Pd: 0.270 0.270 0.000
Pd: 0.730 0.730 0.000
Pt: 0.265 0.265 0.531
Pt: 0.265 0.735 0.000
Pt: 0.735 0.265 0.000
Pt: 0.735 0.735 0.469

Material: HoP2Pd2Pt7
Method: DFT, PBE
State: optimized geometry

Summary:
Its formation energy is -0.523 eV per atom. The total energy is -74.34 eV/f.u.

Lattice parameters (Å, degrees): 3.974 3.974 12.995 95.87 95.87 89.51
Sites, in units of the cell vectors:
Ho: 0.000 0.000 0.000
P: 0.412 0.412 0.726
P: 0.588 0.588 0.274
Pd: 0.267 0.267 0.369
Pd: 0.733 0.733 0.631
Pt: 0.047 0.549 0.171
Pt: 0.203 0.203 0.567
Pt: 0.451 0.953 0.829
Pt: 0.500 0.500 0.000
Pt: 0.549 0.047 0.171
Pt: 0.797 0.797 0.433
Pt: 0.953 0.451 0.829

Material: HoPuP2Pd2
Method: DFT, PBE
State: optimized geometry

Summary:
Its formation energy is -1.073 eV per atom. The total energy is -46.55 eV/f.u.

Lattice parameters (Å, degrees): 4.183 4.183 7.538 90.00 90.00 120.00
Sites, in units of the cell vectors:
Ho: 0.000 0.000 0.000
Pu: 0.000 0.000 0.500
P: 0.333 0.667 0.745
P: 0.667 0.333 0.255
Pd: 0.333 0.667 0.236
Pd: 0.667 0.333 0.764

Material: Ho3P2Pd2Rh5
Method: DFT, PBE
State: optimized geometry

Summary:
Its formation energy is -0.973 eV per atom. The total energy is -83.37 eV/f.u.

Lattice parameters (Å, degrees): 13.366 13.366 13.366 162.89 162.89 24.30
Sites, in units of the cell vectors:
Ho: 0.000 0.000 0.000
Ho: 0.168 0.168 0.000
Ho: 0.832 0.832 0.000
P: 0.371 0.371 0.000
P: 0.629 0.629 0.000
Pd: 0.280 0.280 0.000
Pd: 0.720 0.720 0.000
Rh: 0.083 0.583 0.500
Rh: 0.417 0.917 0.500
Rh: 0.500 0.500 0.000
Rh: 0.583 0.083 0.500
Rh: 0.917 0.417 0.500

Material: Ho3P2PdRh9
Method: DFT, PBE
State: optimized geometry

Summary:
Its formation energy is -0.511 eV per atom. The total energy is -103.58 eV/f.u.

Lattice parameters (Å, degrees): 6.036 6.036 9.029 90.00 90.00 120.00
Sites, in units of the cell vectors:
Ho: 0.000 0.000 0.000
Ho: 0.333 0.667 0.702
Ho: 0.667 0.333 0.298
P: 0.333 0.667 0.163
P: 0.667 0.333 0.837
Pd: 0.000 0.000 0.500
Rh: 0.000 0.500 0.000
Rh: 0.149 0.299 0.271
Rh: 0.149 0.851 0.271
Rh: 0.299 0.149 0.729
Rh: 0.500 0.000 0.000
Rh: 0.500 0.500 0.000
Rh: 0.701 0.851 0.271
Rh: 0.851 0.149 0.729
Rh: 0.851 0.701 0.729

Material: Ho2P3PdRh4
Method: DFT, PBE
State: optimized geometry

Summary:
Its formation energy is -0.945 eV per atom. The total energy is -69.43 eV/f.u.

Lattice parameters (Å, degrees): 3.936 3.936 10.670 90.00 90.00 90.00
Sites, in units of the cell vectors:
Ho: 0.000 0.500 0.242
Ho: 0.500 0.000 0.758
P: 0.000 0.000 0.000
P: 0.000 0.500 0.627
P: 0.500 0.000 0.373
Pd: 0.500 0.500 0.000
Rh: 0.000 0.000 0.500
Rh: 0.000 0.500 0.834
Rh: 0.500 0.000 0.166
Rh: 0.500 0.500 0.500

Material: HoSb2P2Pd7
Method: DFT, PBE
State: optimized geometry

Summary:
The value obtained for the raw formation energy is -515.3 meV per atom. The total energy is -66.18 eV/f.u.

Lattice parameters (Å, degrees): 4.522 4.522 11.322 91.74 91.74 100.28
Sites, in units of the cell vectors:
Ho: 0.000 0.000 0.000
Sb: 0.150 0.150 0.384
Sb: 0.850 0.850 0.616
P: 0.310 0.310 0.814
P: 0.690 0.690 0.186
Pd: 0.162 0.566 0.214
Pd: 0.350 0.350 0.603
Pd: 0.434 0.838 0.786
Pd: 0.500 0.500 0.000
Pd: 0.566 0.162 0.214
Pd: 0.650 0.650 0.397
Pd: 0.838 0.434 0.786

Material: Ho6P2PdSe3
Method: DFT, PBE
State: optimized geometry

Summary:
The value obtained for the raw formation energy is -1580.0 meV per atom. The total energy is -72.89 eV/f.u.

Lattice parameters (Å, degrees): 9.074 9.074 8.166 103.37 103.37 25.46
Sites, in units of the cell vectors:
Ho: 0.005 0.005 0.245
Ho: 0.328 0.328 0.428
Ho: 0.333 0.333 0.902
Ho: 0.667 0.667 0.098
Ho: 0.672 0.672 0.572
Ho: 0.995 0.995 0.755
P: 0.167 0.167 0.335
P: 0.833 0.833 0.665
Pd: 0.500 0.500 0.000
Se: 0.167 0.167 0.832
Se: 0.500 0.500 0.500
Se: 0.833 0.833 0.168

Material: Ho6Te3PPd2
Method: DFT, PBE
State: optimized geometry

Summary:
The value obtained for the raw formation energy is -1170.9 meV per atom. The total energy is -66.74 eV/f.u.

Lattice parameters (Å, degrees): 7.186 7.186 7.513 99.19 99.19 120.19
Sites, in units of the cell vectors:
Ho: 0.071 0.401 0.214
Ho: 0.257 0.257 0.783
Ho: 0.401 0.071 0.214
Ho: 0.599 0.929 0.786
Ho: 0.743 0.743 0.217
Ho: 0.929 0.599 0.786
Te: 0.166 0.834 0.500
Te: 0.500 0.500 0.500
Te: 0.834 0.166 0.500
P: 0.000 0.000 0.000
Pd: 0.333 0.667 0.000
Pd: 0.667 0.333 0.000

Material: Ho4Te2PPd
Method: DFT, PBE
State: optimized geometry

Summary:
The value obtained for the raw formation energy is -1252.6 meV per atom. The total energy is -45.22 eV/f.u.

Lattice parameters (Å, degrees): 7.326 4.110 7.352 90.00 108.65 90.00
Sites, in units of the cell vectors:
Ho: 0.231 0.000 0.214
Ho: 0.259 0.500 0.788
Ho: 0.741 0.500 0.212
Ho: 0.769 0.000 0.786
Te: 0.000 0.000 0.500
Te: 0.500 0.500 0.500
P: 0.000 0.500 0.000
Pd: 0.500 0.000 0.000

Material: HoTl2P2Pd7
Method: DFT, PBE
State: optimized geometry

Summary:
Its formation energy is -0.488 eV per atom. The total energy is -62.33 eV/f.u.

Lattice parameters (Å, degrees): 4.080 4.080 13.728 95.89 95.89 90.00
Sites, in units of the cell vectors:
Ho: 0.000 0.000 0.000
Tl: 0.105 0.105 0.388
Tl: 0.895 0.895 0.612
P: 0.416 0.416 0.754
P: 0.584 0.584 0.246
Pd: 0.054 0.555 0.157
Pd: 0.387 0.387 0.584
Pd: 0.445 0.946 0.843
Pd: 0.500 0.500 0.000
Pd: 0.555 0.054 0.157
Pd: 0.613 0.613 0.416
Pd: 0.946 0.445 0.843

Material: Pm3HoP4
Method: DFT, PBE
State: optimized geometry

Summary:
Its formation energy is -1.570 eV per atom. The total energy is -53.03 eV/f.u.

Lattice parameters (Å, degrees): 7.094 8.199 7.094 90.00 109.51 90.00
Sites, in units of the cell vectors:
Pm: 0.000 0.124 0.250
Pm: 0.000 0.374 0.750
Pm: 0.000 0.626 0.250
Pm: 0.000 0.876 0.750
Pm: 0.500 0.374 0.250
Pm: 0.500 0.626 0.750
Ho: 0.500 0.124 0.750
Ho: 0.500 0.876 0.250
P: 0.253 0.372 0.503
P: 0.253 0.628 0.003
P: 0.256 0.122 0.000
P: 0.256 0.878 0.500
P: 0.744 0.122 0.500
P: 0.744 0.878 0.000
P: 0.747 0.372 0.997
P: 0.747 0.628 0.497

Material: Pm5HoP6
Method: DFT, PBE
State: optimized geometry

Summary:
Its formation energy is -1.568 eV per atom. The total energy is -79.60 eV/f.u.

Lattice parameters (Å, degrees): 7.116 7.116 7.117 99.61 99.61 120.00
Sites, in units of the cell vectors:
Pm: 0.000 0.000 0.000
Pm: 0.166 0.834 0.500
Pm: 0.333 0.667 0.000
Pm: 0.667 0.333 0.000
Pm: 0.834 0.166 0.500
Ho: 0.500 0.500 0.500
P: 0.089 0.418 0.253
P: 0.254 0.254 0.747
P: 0.418 0.089 0.253
P: 0.582 0.911 0.747
P: 0.746 0.746 0.253
P: 0.911 0.582 0.747

Material: Pm3HoP4
Method: DFT, PBE
State: optimized geometry

Summary:
Its formation energy is -1.570 eV per atom. The total energy is -53.03 eV/f.u.

Lattice parameters (Å, degrees): 7.093 7.093 4.099 90.00 90.00 109.46
Sites, in units of the cell vectors:
Pm: 0.000 0.000 0.000
Pm: 0.000 0.500 0.500
Pm: 0.500 0.000 0.500
Ho: 0.500 0.500 0.000
P: 0.253 0.747 0.000
P: 0.256 0.256 0.500
P: 0.744 0.744 0.500
P: 0.747 0.253 0.000

Material: Pm2HoP
Method: DFT, PBE
State: optimized geometry

Summary:
Its formation energy is -0.626 eV per atom. The total energy is -21.99 eV/f.u.

Lattice parameters (Å, degrees): 9.774 9.774 9.774 22.90 22.90 22.90
Sites, in units of the cell vectors:
Pm: 0.226 0.226 0.226
Pm: 0.774 0.774 0.774
Ho: 0.000 0.000 0.000
P: 0.500 0.500 0.500

Material: PmHo3P4
Method: DFT, PBE
State: optimized geometry

Summary:
Its formation energy is -1.595 eV per atom. The total energy is -52.88 eV/f.u.

Lattice parameters (Å, degrees): 6.968 6.968 4.026 90.00 90.00 109.48
Sites, in units of the cell vectors:
Pm: 0.000 0.000 0.000
Ho: 0.000 0.500 0.500
Ho: 0.500 0.000 0.500
Ho: 0.500 0.500 0.000
P: 0.253 0.747 0.000
P: 0.256 0.256 0.500
P: 0.744 0.744 0.500
P: 0.747 0.253 0.000

Material: Pm2PrHoP4
Method: DFT, PBE
State: optimized geometry

Summary:
Its formation energy is -1.552 eV per atom. The total energy is -52.92 eV/f.u.

Lattice parameters (Å, degrees): 7.126 4.118 7.126 90.00 109.45 90.00
Sites, in units of the cell vectors:
Pm: 0.000 0.000 0.000
Pm: 0.500 0.500 0.000
Pr: 0.000 0.500 0.500
Ho: 0.500 0.000 0.500
P: 0.256 0.000 0.750
P: 0.257 0.500 0.254
P: 0.743 0.500 0.746
P: 0.744 0.000 0.250

Material: PmHoPu2P4
Method: DFT, PBE
State: optimized geometry

Summary:
Its formation energy is -1.333 eV per atom. The total energy is -70.30 eV/f.u.

Lattice parameters (Å, degrees): 6.953 4.031 6.963 90.00 109.66 90.00
Sites, in units of the cell vectors:
Pm: 0.000 0.000 0.000
Ho: 0.000 0.500 0.500
Pu: 0.500 0.000 0.500
Pu: 0.500 0.500 0.000
P: 0.256 0.000 0.749
P: 0.260 0.500 0.259
P: 0.740 0.500 0.741
P: 0.744 0.000 0.251

Material: PmHoP2Rh5
Method: DFT, PBE
State: optimized geometry

Summary:
Its formation energy is -0.763 eV per atom. The total energy is -63.77 eV/f.u.

Lattice parameters (Å, degrees): 4.054 4.054 10.667 90.00 90.00 90.00
Sites, in units of the cell vectors:
Pm: 0.000 0.000 0.000
Ho: 0.000 0.000 0.500
P: 0.500 0.500 0.213
P: 0.500 0.500 0.787
Rh: 0.000 0.500 0.305
Rh: 0.000 0.500 0.695
Rh: 0.500 0.000 0.305
Rh: 0.500 0.000 0.695
Rh: 0.500 0.500 0.000